PmGdGe2 | PBE-GGA | optimized geometry

abc: 4.721 4.721 5.952
angles: 66.63 66.63 60.00
Last column: magnetic moment on the atom in μB.
Fractional coordinates of all 4 atoms:
Ge (0.246, 0.246, 0.261)  -0.02
Ge (0.754, 0.754, 0.739)  -0.02
Pm (0.000, 0.000, 0.000)  0.02
Gd (0.500, 0.500, 0.500)  7.01

Properties
**Energy of formation**: -0.677 eV/atom
**Calculated volume**: 102 Å³/cell
**Calculated total energy**: -0.5655 Ry per atom
**N(E_F)**: 2.66 states/eV per cell